First-principles (PBE) data for a relaxed structure of TaOs5, as listed in the Alexandria database.

abc: 2.7566 2.7566 11.8223
angles: 90.00 90.00 90.00
Closest atoms and distances in Å follow each position.
Space group P4/mmm (No. 123)
Inequivalent atoms, fractional coordinates:
Ta  0.0000  0.0000  0.0000  4 Ta 2.76, 8 Os 2.89
Os  0.0000  0.0000  0.3353  12 Os 2.67-2.76
Os  0.5000  0.5000  0.1809  8 Os 2.67-2.76, 4 Ta 2.89
Os  0.5000  0.5000  0.5000  12 Os 2.76

Computed properties:
- Relative energy among the computed polymorphs: 0.131 eV/atom
- Energy: -67.68 eV per cell
- Formation energy: 54 meV/atom
- Calculated density: 20.9 g/cm3